Material: Cs2CrSiSe4
Method: DFT, PBE-GGA
State: relaxed Values from VASP.

Results
Its space-group type is Fddd, No. 70. Its density is 3.808 Mg/m³. As for the total energy: -4.634 eV/atom.

Structure (Quantum ESPRESSO input):
```
&SYSTEM
  ibrav = 0, nat = 16, ntyp = 4
/
ATOMIC_SPECIES
Cs 132.91 Cs.upf
Cr 52.00 Cr.upf
Si 28.09 Si.upf
Se 78.96 Se.upf
CELL_PARAMETERS angstrom
0.0000 7.2854 12.6528
3.1302 0.0000 12.6528
3.1302 7.2854 0.0000
ATOMIC_POSITIONS crystal
Cs 0.0524 0.0524 0.6976
Cs 0.3024 0.3024 0.9476
Cs 0.6976 0.6976 0.0524
Cs 0.9476 0.9476 0.3024
Cr 0.1250 0.1250 0.1250
Cr 0.8750 0.8750 0.8750
Si 0.3750 0.3750 0.3750
Si 0.6250 0.6250 0.6250
Se 0.0103 0.6422 0.5539
Se 0.2936 0.5539 0.6422
Se 0.3578 0.9897 0.7064
Se 0.4461 0.7064 0.9897
Se 0.5539 0.2936 0.0103
Se 0.6422 0.0103 0.2936
Se 0.7064 0.4461 0.3578
Se 0.9897 0.3578 0.4461
```

=====

Material: Cs2CrSnSe4
Method: DFT, PBE-GGA
State: relaxed Values from VASP.

Results
Its space-group type is Fddd, No. 70. Its density is 3.876 Mg/m³. As for the total energy: -4.423 eV/atom.

Structure (Quantum ESPRESSO input):
```
&SYSTEM
  ibrav = 0, nat = 16, ntyp = 4
/
ATOMIC_SPECIES
Cs 132.91 Cs.upf
Cr 52.00 Cr.upf
Sn 118.71 Sn.upf
Se 78.96 Se.upf
CELL_PARAMETERS angstrom
0.0000 7.1787 12.4125
3.6172 0.0000 12.4125
3.6172 7.1787 0.0000
ATOMIC_POSITIONS crystal
Cs 0.0543 0.0543 0.6957
Cs 0.3043 0.3043 0.9457
Cs 0.6957 0.6957 0.0543
Cs 0.9457 0.9457 0.3043
Cr 0.1250 0.1250 0.1250
Cr 0.8750 0.8750 0.8750
Sn 0.3750 0.3750 0.3750
Sn 0.6250 0.6250 0.6250
Se 0.0537 0.2976 0.3747
Se 0.2261 0.6253 0.7024
Se 0.2976 0.0537 0.7739
Se 0.3747 0.7739 0.0537
Se 0.6253 0.2261 0.9463
Se 0.7024 0.9463 0.2261
Se 0.7739 0.3747 0.2976
Se 0.9463 0.7024 0.6253
```